{
  "formula": "BaNiO3",
  "functional": "PBE with a Hubbard U",
  "state": "optimized geometry",
  "lattice_angstrom": [[-3.051, 2.583, -0.528], [0.014, -0.791, -3.954], [-2.636, -2.993, 0.589]],
  "species": ["O", "O", "O", "Ni", "Ba"],
  "frac_coords": [[0.994, 0.993, 0.502], [0.495, 0.493, 0.502], [0.994, 0.493, 0.002], [0.995, 0.493, 0.502], [0.495, 0.993, 0.002]],
  "dos_ef_per_ev_atom": 0.655,
  "total_magnetization_mub_per_cell": 0.00,
  "space_group": "Pm-3m, No. 221",
  "e_tot_ev_per_fu": -26.2
}